Compound: NpPa2Cr2C4
Source: Alexandria
Functional: GGA-PBE
Structure: relaxed

Cell: 6.893 6.893 5.812 Å, 107.79 107.79 26.84°
Sites, in units of the cell vectors:
Np: 0.000 0.000 0.000
Pa: 0.129 0.129 0.524
Pa: 0.871 0.871 0.476
Cr: 0.318 0.318 0.990
Cr: 0.682 0.682 0.010
C: 0.234 0.234 0.230
C: 0.458 0.458 0.260
C: 0.542 0.542 0.740
C: 0.766 0.766 0.770

Summary:
Fermi-level density of states	10.28	states/eV per cell
energy	-89.08	eV for the cell shown
energy of formation	-0.112	eV/atom
SG	C2/m, No. 12

=====

Compound: Tb2NpCr2C4
Source: Alexandria
Functional: GGA-PBE
Structure: relaxed

Cell: 6.654 6.654 6.000 Å, 108.71 108.71 29.32°
Sites, in units of the cell vectors:
Tb: 0.136 0.136 0.042
Tb: 0.864 0.864 0.958
Np: 0.000 0.000 0.500
Cr: 0.319 0.319 0.507
Cr: 0.681 0.681 0.493
C: 0.220 0.220 0.702
C: 0.465 0.465 0.744
C: 0.535 0.535 0.256
C: 0.780 0.780 0.298

Summary:
Fermi-level density of states	8.78	states/eV per cell
energy	-78.63	eV for the cell shown
energy of formation	-0.032	eV/atom
SG	C2/m, No. 12

=====

Repeat the second record exactly.
Compound: Tb2NpCr2C4
Source: Alexandria
Functional: GGA-PBE
Structure: relaxed

Cell: 6.654 6.654 6.000 Å, 108.71 108.71 29.32°
Sites, in units of the cell vectors:
Tb: 0.136 0.136 0.042
Tb: 0.864 0.864 0.958
Np: 0.000 0.000 0.500
Cr: 0.319 0.319 0.507
Cr: 0.681 0.681 0.493
C: 0.220 0.220 0.702
C: 0.465 0.465 0.744
C: 0.535 0.535 0.256
C: 0.780 0.780 0.298

Summary:
Fermi-level density of states	8.78	states/eV per cell
energy	-78.63	eV for the cell shown
energy of formation	-0.032	eV/atom
SG	C2/m, No. 12

=====

> Look up the energy of the second one.

-78.63 eV for the cell shown